# 1
VASP calculation (PBE) on an optimized crystal structure of ZnInSi2.

```
4
Lattice="2.745 0.000 0.000 0.000 3.669 0.000 -0.016 0.000 7.506" Properties=species:S:1:pos:R:3 pbc="T T T"
Zn 0.000 0.000 0.000
In 1.344 1.834 5.435
Si 1.337 0.000 3.185
Si 1.347 1.834 1.563
```

Calculated values
electronic total energy: -0.12537 Ha/atom
density: 5193 kg/m3
volume: 75.6 Å³/f.u.
energy relative to the elements, uncorrected: 0.3031 eV/atom

# 2
VASP calculation (PBE) on an optimized crystal structure of ZnInSi2.

```
8
Lattice="3.591 0.000 0.000 0.000 5.295 0.000 0.000 0.000 8.099" Properties=species:S:1:pos:R:3 pbc="T T T"
Zn 0.000 0.000 0.000
Zn 1.796 2.648 4.050
In 0.000 2.648 6.327
In 1.796 0.000 2.277
Si 0.000 0.000 4.603
Si 0.000 2.648 2.130
Si 1.796 0.000 6.180
Si 1.796 2.648 0.553
```

Calculated values
electronic total energy: -0.12165 Ha/atom
density: 5098 kg/m3
volume: 77.0 Å³/f.u.
energy relative to the elements, uncorrected: 0.4044 eV/atom

# 3
VASP calculation (PBE) on an optimized crystal structure of ZnInSi2.

```
4
Lattice="3.062 0.000 0.000 0.000 3.746 0.000 0.000 0.000 6.565" Properties=species:S:1:pos:R:3 pbc="T T T"
Zn 0.000 0.000 0.000
In 0.000 0.000 3.283
Si 1.531 1.873 1.245
Si 1.531 1.873 5.320
```

Calculated values
electronic total energy: -0.12200 Ha/atom
density: 5213 kg/m3
volume: 75.3 Å³/f.u.
energy relative to the elements, uncorrected: 0.3948 eV/atom

# 4
VASP calculation (PBE) on an optimized crystal structure of ZnInSi2.

```
8
Lattice="2.814 0.000 0.000 0.000 5.020 0.000 0.000 0.000 10.322" Properties=species:S:1:pos:R:3 pbc="T T T"
Zn 0.000 0.000 0.000
Zn 1.407 2.510 5.161
In 0.000 0.000 5.161
In 1.407 2.510 0.000
Si 0.000 2.510 2.827
Si 0.000 2.510 7.495
Si 1.407 0.000 2.334
Si 1.407 0.000 7.988
```

Calculated values
electronic total energy: -0.12067 Ha/atom
density: 5385 kg/m3
volume: 72.9 Å³/f.u.
energy relative to the elements, uncorrected: 0.4310 eV/atom

# 5
VASP calculation (PBE) on an optimized crystal structure of ZnInSi.

```
6
Lattice="3.111 0.000 0.000 0.000 3.111 0.000 0.000 0.000 12.018" Properties=species:S:1:pos:R:3 pbc="T T T"
Zn 0.000 0.000 0.000
Zn 1.555 1.555 6.009
In 0.000 0.000 3.779
In 1.555 1.555 9.787
Si 0.000 0.000 7.562
Si 1.555 1.555 1.553
```

Calculated values
electronic total energy: -0.10345 Ha/atom
density: 5948 kg/m3
volume: 58.2 Å³/f.u.
energy relative to the elements, uncorrected: 0.3301 eV/atom

# 6
VASP calculation (PBE) on an optimized crystal structure of ZnInSi2.

```
4
Lattice="3.489 0.000 0.000 0.000 3.489 0.000 0.000 0.000 6.319" Properties=species:S:1:pos:R:3 pbc="T T T"
Zn 0.000 0.000 0.000
In 1.745 1.745 1.515
Si 0.000 0.000 3.838
Si 1.745 1.745 4.310
```

Calculated values
electronic total energy: -0.12480 Ha/atom
density: 5102 kg/m3
volume: 76.9 Å³/f.u.
energy relative to the elements, uncorrected: 0.3186 eV/atom

# 7
VASP calculation (PBE) on an optimized crystal structure of ZnInSi.

```
6
Lattice="2.939 0.000 0.000 0.000 3.837 0.000 0.000 0.000 10.482" Properties=species:S:1:pos:R:3 pbc="T T T"
Zn 0.000 0.000 0.000
Zn 1.469 1.918 5.241
In 0.000 0.000 7.310
In 1.469 1.918 2.069
Si 0.000 0.000 4.142
Si 1.469 1.918 9.383
```

Calculated values
electronic total energy: -0.10406 Ha/atom
density: 5854 kg/m3
volume: 59.1 Å³/f.u.
energy relative to the elements, uncorrected: 0.3136 eV/atom

# 8
VASP calculation (PBE) on an optimized crystal structure of ZnInSi2.

```
8
Lattice="8.412 0.000 0.000 0.000 2.931 0.000 -0.819 0.000 6.234" Properties=species:S:1:pos:R:3 pbc="T T T"
Zn 0.000 0.000 0.000
Zn 4.206 1.466 0.000
In -0.409 1.466 3.117
In 3.797 0.000 3.117
Si 1.879 1.466 1.138
Si 1.508 0.000 5.096
Si 6.085 0.000 1.138
Si 5.714 1.466 5.096
```

Calculated values
electronic total energy: -0.12304 Ha/atom
density: 5107 kg/m3
volume: 76.9 Å³/f.u.
energy relative to the elements, uncorrected: 0.3666 eV/atom